# 1
The following is a DFT calculation (SCAN) of a crystal of BaLiAlF6 relaxed with PBEsol.

Unit cell a=5.3438 b=8.4578 c=10.1076 alpha=90.00 beta=90.00 gamma=90.76
Sites, in units of the cell vectors:
F (0.1108, 0.2922, 0.5802)
F (0.8892, 0.2078, 0.0802)
F (0.3860, 0.2402, 0.2510)
F (0.3860, 0.7402, 0.2490)
F (0.5273, 0.2058, 0.4925)
F (0.8340, 0.9445, 0.5901)
F (0.5273, 0.7058, 0.0075)
F (0.4727, 0.2942, 0.9925)
F (0.6140, 0.2598, 0.7510)
F (0.6668, 0.5303, 0.6008)
F (0.3332, 0.4697, 0.3992)
F (0.1108, 0.7922, 0.9198)
F (0.1660, 0.5555, 0.0901)
F (0.9324, 0.8032, 0.1542)
F (0.6668, 0.0303, 0.8992)
F (0.1660, 0.0555, 0.4099)
F (0.9324, 0.3032, 0.3458)
F (0.8340, 0.4445, 0.9099)
F (0.0676, 0.6968, 0.6542)
F (0.3332, 0.9697, 0.1008)
F (0.4727, 0.7942, 0.5075)
F (0.8892, 0.7078, 0.4198)
F (0.6140, 0.7598, 0.7490)
F (0.0676, 0.1968, 0.8458)
Ba (0.3003, 0.5038, 0.8123)
Ba (0.3003, 0.0038, 0.6877)
Ba (0.6997, 0.9962, 0.3123)
Ba (0.6997, 0.4962, 0.1877)
Al (0.2366, 0.2676, 0.4133)
Al (0.2366, 0.7676, 0.0867)
Al (0.7634, 0.2324, 0.9133)
Al (0.7634, 0.7324, 0.5867)
Li (0.7625, 0.3237, 0.5851)
Li (0.2375, 0.1763, 0.0851)
Li (0.2375, 0.6763, 0.4149)
Li (0.7625, 0.8237, 0.9149)

Output
raw formation energy: -3.8355 eV per atom
space group: P2_1/c

# 2
The following is a DFT calculation (SCAN) of a crystal of Cd2ReAs relaxed with PBEsol.

Unit cell a=3.8341 b=3.8341 c=5.4158 alpha=110.73 beta=110.73 gamma=90.00
Sites, in units of the cell vectors:
As (0.0000, 0.0000, 0.0000)
Cd (0.2500, 0.7500, 0.5000)
Cd (0.7500, 0.2500, 0.5000)
Re (0.5000, 0.5000, 0.0000)

Output
formation enthalpy at 0 K: 0.6495 eV/atom
space group: I4/mmm

# 3
The following is a DFT calculation (SCAN) of a crystal of CaNbF2 relaxed with PBEsol.

Unit cell a=3.4199 b=3.4199 c=6.6053 alpha=75.00 beta=75.00 gamma=60.00
Sites, in units of the cell vectors:
F (0.1166, 0.1166, 0.6501)
F (0.8834, 0.8834, 0.3499)
Ca (0.5000, 0.5000, 0.5000)
Nb (0.0000, 0.0000, 0.0000)

Output
raw formation energy: -2.1587 eV per atom
space group: R-3m

# 4
The following is a DFT calculation (SCAN) of a crystal of Tc3SnCl relaxed with PBEsol.

Unit cell a=4.3266 b=4.3266 c=4.3266 alpha=90.00 beta=90.00 gamma=90.00
Sites, in units of the cell vectors:
Tc (0.5000, 0.0000, 0.0000)
Tc (0.0000, 0.0000, 0.5000)
Tc (0.0000, 0.5000, 0.0000)
Sn (0.5000, 0.5000, 0.5000)
Cl (0.0000, 0.0000, 0.0000)

Output
raw formation energy: 1.0963 eV per atom
space group: Pm-3m

# 5
The following is a DFT calculation (SCAN) of a crystal of Nd3Eu relaxed with PBEsol.

Unit cell a=5.1122 b=5.1122 c=5.1122 alpha=90.00 beta=90.00 gamma=90.00
Sites, in units of the cell vectors:
Nd (0.5000, 0.5000, 0.0000)
Nd (0.0000, 0.5000, 0.5000)
Nd (0.5000, 0.0000, 0.5000)
Eu (0.0000, 0.0000, 0.0000)

Output
formation enthalpy at 0 K: 0.0676 eV/atom
space group: Pm-3m

# 6
The following is a DFT calculation (SCAN) of a crystal of Be2Tc2W relaxed with PBEsol.

Unit cell a=3.0280 b=6.1922 c=6.1922 alpha=90.00 beta=90.00 gamma=90.00
Sites, in units of the cell vectors:
W (0.0000, 0.5000, 0.5000)
W (0.0000, 0.0000, 0.0000)
Tc (0.5000, 0.8245, 0.3245)
Tc (0.5000, 0.6755, 0.8245)
Tc (0.5000, 0.3245, 0.1755)
Tc (0.5000, 0.1755, 0.6755)
Be (0.0000, 0.1188, 0.3812)
Be (0.0000, 0.8812, 0.6188)
Be (0.0000, 0.3812, 0.8812)
Be (0.0000, 0.6188, 0.1188)

Output
formation enthalpy at 0 K: -0.3013 eV/atom
space group: P4/mbm

| no. | theoretical density (g/cm3) | DOS(E_F) (states/eV/cell) |
| --- | --- | --- |
| 1 | 4.148 | 0.0 |
| 2 | 11.708 | 1.4 |
| 3 | 4.447 | 2.6 |
| 4 | 9.189 | 4.8 |
| 5 | 7.267 | 5.2 |
| 6 | 11.381 | 5.3 |